Material: Sb3AsN
Method: DFT, PBE
State: optimized geometry

a = 4.770 Å, b = 4.770 Å, c = 4.770 Å
α = 90.00°, β = 90.00°, γ = 90.00°
Sites, in units of the cell vectors:
Sb: 0.000 0.500 0.000
Sb: 0.500 0.000 0.000
Sb: 0.000 0.000 0.500
N: 0.000 0.000 0.000
As: 0.500 0.500 0.500

Results
For the total magnetization, the calculation gives 0.000 μB/f.u. The uncorrected formation energy comes out at 0.659 eV/atom. The value obtained for the energy above the most stable polymorph in this dataset is 0 meV/atom. The calculation puts the volume at 21.70 Å³ per atom. The density of states at the Fermi level is 2.56 states/eV/f.u. Its space group is Pm-3m, No. 221. The value obtained for the final energy is -4.409 eV per atom.